(1)
{
  "formula": "BC",
  "functional": "PBE-GGA",
  "state": "relaxed",
  "dft_energy_ev_per_atom": -7.65,
  "e_form_ev_per_atom": 0.299,
  "cell": [[2.644, 0.000, 0.000], [1.307, 2.299, 0.000], [1.261, 0.767, 15.209]],
  "species": ["B", "B", "B", "B", "B", "B", "C", "C", "C", "C", "C", "C"],
  "frac_coords": [[0.000, 0.000, 0.000], [0.056, 0.060, 0.821], [0.198, 0.211, 0.391], [0.442, 0.450, 0.675], [0.572, 0.589, 0.271], [0.700, 0.703, 0.889], [0.085, 0.091, 0.720], [0.232, 0.248, 0.281], [0.472, 0.482, 0.569], [0.668, 0.668, 0.992], [0.817, 0.827, 0.533], [0.848, 0.860, 0.435]]
}

***

(2)
{
  "formula": "B3C5",
  "functional": "PBE-GGA",
  "state": "relaxed",
  "dft_energy_ev_per_atom": -7.96,
  "e_form_ev_per_atom": 0.309,
  "cell": [[2.523, 0.000, 0.000], [0.000, 2.523, 0.000], [0.000, 0.000, 8.072]],
  "species": ["B", "B", "B", "C", "C", "C", "C", "C"],
  "frac_coords": [[0.000, 0.000, 0.000], [0.000, 0.500, 0.373], [0.500, 0.000, 0.627], [0.000, 0.000, 0.500], [0.000, 0.500, 0.866], [0.500, 0.000, 0.134], [0.500, 0.500, 0.235], [0.500, 0.500, 0.765]]
}

***

Summary of energy relative to the lowest polymorph listed for this composition in eV per atom
0.148 0.034
(order as listed above)